# 1
Y2ScPtC | PBE | optimized geometry

Values from the calculation:
- E_tot: -7.49 eV/atom
- Magnetization: 0.00 μB per formula unit
- Energy of formation from the pure elements: -0.582 eV/atom

a = 4.865 Å, b = 4.865 Å, c = 4.370 Å
α = 90.00°, β = 90.00°, γ = 90.00°
Fractional positions:
Y  0.000  0.500  0.000
Y  0.500  0.000  0.000
Sc  0.000  0.000  0.500
Pt  0.500  0.500  0.500
C  0.000  0.000  0.000


# 2
Ce3MnZn | PBE | optimized geometry

Values from the calculation:
- E_tot: -5.61 eV/atom
- Magnetization: 0.67 μB per formula unit
- Energy of formation from the pure elements: 0.041 eV/atom

a = 5.010 Å, b = 5.010 Å, c = 5.010 Å
α = 90.00°, β = 90.00°, γ = 90.00°
Fractional positions:
Ce  0.000  0.000  0.500
Ce  0.000  0.500  0.000
Ce  0.500  0.000  0.000
Mn  0.000  0.000  0.000
Zn  0.500  0.500  0.500